Record 1
Here is crystalline KCdW at its relaxed geometry from the Alexandria database. Energies are from PBE-GGA.

Structure (CIF):
```
data_KCdW
_space_group_name_H-M_alt 'I m m 2'
_space_group_IT_number 44
_cell_length_a 2.693
_cell_length_b 4.816
_cell_length_c 12.591
_cell_angle_alpha 90.00
_cell_angle_beta 90.00
_cell_angle_gamma 90.00
loop_
_space_group_symop_operation_xyz
'x,y,z'
'-x,-y,z'
'-x,y,z'
'x,-y,z'
'x+1/2,y+1/2,z+1/2'
'-x+1/2,-y+1/2,z+1/2'
'-x+1/2,y+1/2,z+1/2'
'x+1/2,-y+1/2,z+1/2'
loop_
_atom_site_label
_atom_site_type_symbol
_atom_site_fract_x
_atom_site_fract_y
_atom_site_fract_z
K1 K 0.000 0.000 0.000
Cd1 Cd 0.000 0.000 0.284
W1 W 0.000 0.000 0.718
```

Record 2
Here is crystalline KCd2W at its relaxed geometry from the Alexandria database. Energies are from PBE-GGA.

Structure (CIF):
```
data_KCd2W
_space_group_name_H-M_alt 'C m m m'
_space_group_IT_number 65
_space_group_name_Hall '-C 2 2'
_cell_length_a 4.069
_cell_length_b 4.118
_cell_length_c 10.615
_cell_angle_alpha 90.00
_cell_angle_beta 90.00
_cell_angle_gamma 90.00
loop_
_atom_site_label
_atom_site_type_symbol
_atom_site_fract_x
_atom_site_fract_y
_atom_site_fract_z
K1 K 0.000 0.000 0.000
Cd1 Cd 0.000 0.500 0.286
W1 W 0.000 0.000 0.500
```

Short version: energy relative to the elements = 1138 633 meV/atom, in the order given.
Short version: D(E_F) = 5.30 5.73 states/eV/cell, in the order given.